1.
DFT (PBE) results for an optimized crystal structure of LiPrNiSn.

Output
- space group = F-43m, No. 216
- DFT formation energy (eV per formula unit) = -2.115
- total energy (eV per atom) = -4.65

a b c (Å): 4.769 4.769 4.769
angles (deg): 60.00 60.00 60.00
Element x y z (fractional)
Li1 0.000 0.000 0.000
Sn1 0.250 0.250 0.250
Pr1 0.750 0.750 0.750
Ni1 0.500 0.500 0.500


2.
DFT (PBE) results for an optimized crystal structure of LiTbPrNi.

Output
- space group = F-43m, No. 216
- DFT formation energy (eV per formula unit) = -0.282
- total energy (eV per atom) = -4.35

a b c (Å): 5.037 5.037 5.037
angles (deg): 60.00 60.00 60.00
Element x y z (fractional)
Li1 0.500 0.500 0.500
Tb1 0.750 0.750 0.750
Pr1 0.250 0.250 0.250
Ni1 0.000 0.000 0.000


3.
DFT (PBE) results for an optimized crystal structure of LiPrYNi.

Output
- space group = F-43m, No. 216
- DFT formation energy (eV per formula unit) = -0.306
- total energy (eV per atom) = -4.81

a b c (Å): 5.040 5.040 5.040
angles (deg): 60.00 60.00 60.00
Element x y z (fractional)
Li1 0.500 0.500 0.500
Y1 0.750 0.750 0.750
Pr1 0.250 0.250 0.250
Ni1 0.000 0.000 0.000


4.
DFT (PBE) results for an optimized crystal structure of LiPrZnNi.

Output
- space group = F-43m, No. 216
- DFT formation energy (eV per formula unit) = -0.517
- total energy (eV per atom) = -3.57

a b c (Å): 4.677 4.677 4.677
angles (deg): 60.00 60.00 60.00
Element x y z (fractional)
Ni1 0.500 0.500 0.500
Zn1 0.250 0.250 0.250
Pr1 0.750 0.750 0.750
Li1 0.000 0.000 0.000


5.
DFT (PBE) results for an optimized crystal structure of Li3Pr2ZnNi12.

Output
- space group = R-3m, No. 166
- DFT formation energy (eV per formula unit) = 2.969
- total energy (eV per atom) = -4.61

a b c (Å): 9.920 9.920 9.920
angles (deg): 33.29 33.29 33.29
Site moments in Bohr magnetons follow the coordinates.
Element x y z (fractional)
Ni1 0.588 0.182 0.588  0.15
Ni2 0.636 0.078 0.078  0.13
Ni3 0.588 0.588 0.182  0.15
Ni4 0.078 0.636 0.078  0.13
Ni5 0.922 0.364 0.922  0.13
Ni6 0.412 0.818 0.412  0.15
Ni7 0.364 0.922 0.922  0.13
Ni8 0.412 0.412 0.818  0.15
Ni9 0.922 0.922 0.364  0.13
Ni10 0.078 0.078 0.636  0.13
Ni11 0.818 0.412 0.412  0.15
Ni12 0.182 0.588 0.588  0.15
Zn1 0.000 0.000 0.000  0.00
Pr1 0.641 0.641 0.641  -0.02
Pr2 0.359 0.359 0.359  -0.02
Li1 0.000 0.000 0.500  -0.01
Li2 0.500 0.000 0.000  -0.01
Li3 0.000 0.500 0.000  -0.01


6.
DFT (PBE) results for an optimized crystal structure of LiNiPt2.

Output
- space group = F-43m, No. 216
- DFT formation energy (eV per formula unit) = -0.512
- total energy (eV per atom) = -5.07

a b c (Å): 4.296 4.296 4.299
angles (deg): 60.03 60.03 60.00
Site moments in Bohr magnetons follow the coordinates.
Element x y z (fractional)
Ni1 0.500 0.500 0.501  0.55
Pt1 0.250 0.250 0.250  0.19
Pt2 0.000 0.000 0.999  0.18
Li1 0.750 0.750 0.750  0.00